1.
A plane-wave DFT calculation with PBE was carried out for an optimized crystal structure of InPdAu.

```
data_InPdAu
_space_group_name_H-M_alt 'P 3 m 1'
_space_group_IT_number 156
_cell_length_a 4.5505
_cell_length_b 4.5505
_cell_length_c 3.0672
_cell_angle_alpha 90.00
_cell_angle_beta 90.00
_cell_angle_gamma 120.00
loop_
_space_group_symop_operation_xyz
'x,y,z'
'-y,x-y,z'
'-x+y,-x,z'
'-y,-x,z'
'-x+y,y,z'
'x,x-y,z'
loop_
_atom_site_label
_atom_site_type_symbol
_atom_site_fract_x
_atom_site_fract_y
_atom_site_fract_z
_atom_site_occupancy
In1 In 0.0000 0.0000 0.0000 1
Pd1 Pd 0.6667 0.3333 0.7107 1
Au1 Au 0.3333 0.6667 0.3099 1
```

## Properties
* distance to the lowest polymorph of the same formula: 0.040 eV/atom
* electronic total energy: -0.1470 hartree per atom
* D(E_F): 1.0 states/eV per cell

---

2.
A plane-wave DFT calculation with PBE was carried out for an optimized crystal structure of Ag3Mo.

```
data_Ag3Mo
_space_group_name_H-M_alt 'P m m n'
_space_group_IT_number 59
_cell_length_a 4.804
_cell_length_b 5.936
_cell_length_c 4.992
_cell_angle_alpha 90.00
_cell_angle_beta 90.00
_cell_angle_gamma 90.00
loop_
_space_group_symop_operation_xyz
'x,y,z'
'-x,-y,-z'
'-x+1/2,-y+1/2,z'
'x+1/2,y+1/2,-z'
'x+1/2,-y,-z'
'-x+1/2,y,z'
'-x,y+1/2,-z'
'x,-y+1/2,z'
loop_
_atom_site_label
_atom_site_type_symbol
_atom_site_fract_x
_atom_site_fract_y
_atom_site_fract_z
_atom_site_occupancy
Ag1 Ag 0.250 0.001 0.168 1
Ag2 Ag 0.250 0.250 0.666 1
Mo1 Mo 0.250 0.750 0.665 1
```

## Properties
* distance to the lowest polymorph of the same formula: 0.359 eV/atom
* electronic total energy: -0.1539 hartree per atom
* D(E_F): 8.3 states/eV per cell

---

3.
A plane-wave DFT calculation with PBE was carried out for an optimized crystal structure of Tm2Mg3In2.

```
data_Tm2Mg3In2
_space_group_name_H-M_alt 'C m m m'
_space_group_IT_number 65
_space_group_name_Hall '-C 2 2'
_cell_length_a 4.708
_cell_length_b 21.864
_cell_length_c 3.441
_cell_angle_alpha 90.00
_cell_angle_beta 90.00
_cell_angle_gamma 90.00
loop_
_atom_site_label
_atom_site_type_symbol
_atom_site_fract_x
_atom_site_fract_y
_atom_site_fract_z
_atom_site_occupancy
Tm1 Tm 0.000 0.155 0.000 1
Mg1 Mg 0.000 0.000 0.000 1
Mg2 Mg 0.000 0.429 0.500 1
In1 In 0.000 0.290 0.500 1
```

## Properties
* electronic total energy: -0.1077 hartree per atom
* D(E_F): 8.5 states/eV per cell

---

4.
A plane-wave DFT calculation with PBE was carried out for an optimized crystal structure of PmY2Ni2.

```
data_PmY2Ni2
_space_group_name_H-M_alt 'C m m m'
_space_group_IT_number 65
_space_group_name_Hall '-C 2 2'
_cell_length_a 4.376
_cell_length_b 14.499
_cell_length_c 3.685
_cell_angle_alpha 90.00
_cell_angle_beta 90.00
_cell_angle_gamma 90.00
loop_
_atom_site_label
_atom_site_type_symbol
_atom_site_fract_x
_atom_site_fract_y
_atom_site_fract_z
_atom_site_occupancy
Pm1 Pm 0.000 0.000 0.000 1
Y1 Y 0.000 0.345 0.500 1
Ni1 Ni 0.000 0.198 0.000 1
```

## Properties
* electronic total energy: -0.2263 hartree per atom
* D(E_F): 10.3 states/eV per cell

---

5.
A plane-wave DFT calculation with PBE was carried out for an optimized crystal structure of MnCdIr2.

```
data_MnCdIr2
_space_group_name_H-M_alt 'R -3 m'
_space_group_IT_number 166
_space_group_name_Hall '-R 3 2"'
_cell_length_a 2.8490
_cell_length_b 2.8490
_cell_length_c 26.5353
_cell_angle_alpha 90.00
_cell_angle_beta 90.00
_cell_angle_gamma 120.00
loop_
_atom_site_label
_atom_site_type_symbol
_atom_site_fract_x
_atom_site_fract_y
_atom_site_fract_z
_atom_site_occupancy
Mn1 Mn 0.0000 0.0000 0.0000 1
Cd1 Cd 0.0000 0.0000 0.5000 1
Ir1 Ir 0.0000 0.0000 0.2594 1
```

## Properties
* electronic total energy: -0.2539 hartree per atom
* D(E_F): 15.3 states/eV per cell

---

6.
A plane-wave DFT calculation with PBE was carried out for an optimized crystal structure of Pm2ErPaAs4.

```
data_Pm2ErPaAs4
_space_group_name_H-M_alt 'P 1 2/m 1'
_space_group_IT_number 10
_cell_length_a 7.172
_cell_length_b 4.162
_cell_length_c 7.221
_cell_angle_alpha 90.00
_cell_angle_beta 109.43
_cell_angle_gamma 90.00
loop_
_space_group_symop_operation_xyz
'x,y,z'
'-x,-y,-z'
'-x,y,-z'
'x,-y,z'
loop_
_atom_site_label
_atom_site_type_symbol
_atom_site_fract_x
_atom_site_fract_y
_atom_site_fract_z
_atom_site_occupancy
Pm1 Pm 0.000 0.000 0.000 1
Pm2 Pm 0.500 0.500 0.000 1
Er1 Er 0.000 0.500 0.500 1
Pa1 Pa 0.500 0.000 0.500 1
As1 As 0.249 0.000 0.738 1
As2 As 0.255 0.500 0.262 1
```

## Properties
* electronic total energy: -0.2456 hartree per atom
* D(E_F): 5.2 states/eV per cell

---

7.
A plane-wave DFT calculation with PBE was carried out for an optimized crystal structure of B5C7.

```
data_B5C7
_space_group_name_H-M_alt 'P 1'
_space_group_IT_number 1
_cell_length_a 4.498
_cell_length_b 4.650
_cell_length_c 4.661
_cell_angle_alpha 60.13
_cell_angle_beta 69.96
_cell_angle_gamma 84.71
loop_
_space_group_symop_operation_xyz
'x,y,z'
loop_
_atom_site_label
_atom_site_type_symbol
_atom_site_fract_x
_atom_site_fract_y
_atom_site_fract_z
_atom_site_occupancy
B1 B 0.000 0.000 0.000 1
B2 B 0.018 0.359 0.351 1
B3 B 0.170 0.446 0.917 1
B4 B 0.555 0.038 0.480 1
B5 B 0.592 0.426 0.461 1
C1 C 0.028 0.729 0.646 1
C2 C 0.140 0.738 0.284 1
C3 C 0.160 0.068 0.611 1
C4 C 0.509 0.739 0.149 1
C5 C 0.534 0.386 0.843 1
C6 C 0.641 0.072 0.100 1
C7 C 0.655 0.724 0.786 1
```

## Properties
* distance to the lowest polymorph of the same formula: 0.197 eV/atom
* electronic total energy: -0.2832 hartree per atom
* D(E_F): 1.9 states/eV per cell

---

8.
A plane-wave DFT calculation with PBE was carried out for an optimized crystal structure of ScCd.

```
data_ScCd
_space_group_name_H-M_alt 'P b c m'
_space_group_IT_number 57
_cell_length_a 10.061
_cell_length_b 8.771
_cell_length_c 6.142
_cell_angle_alpha 90.00
_cell_angle_beta 90.00
_cell_angle_gamma 90.00
loop_
_space_group_symop_operation_xyz
'x,y,z'
'-x,-y,-z'
'-x,-y,z+1/2'
'x,y,-z+1/2'
'x,-y+1/2,-z'
'-x,y+1/2,z'
'-x,y+1/2,-z+1/2'
'x,-y+1/2,z+1/2'
loop_
_atom_site_label
_atom_site_type_symbol
_atom_site_fract_x
_atom_site_fract_y
_atom_site_fract_z
_atom_site_occupancy
Sc1 Sc 0.122 0.065 0.250 1
Sc2 Sc 0.354 0.604 0.250 1
Sc3 Sc 0.378 0.250 0.000 1
Cd1 Cd 0.111 0.750 0.000 1
Cd2 Cd 0.132 0.103 0.750 1
Cd3 Cd 0.396 0.564 0.750 1
```

## Properties
* electronic total energy: -0.1406 hartree per atom
* D(E_F): 26.7 states/eV per cell

---

9.
A plane-wave DFT calculation with PBE was carried out for an optimized crystal structure of Tm3Cu2Ag4.

```
data_Tm3Cu2Ag4
_space_group_name_H-M_alt 'C 1 2/c 1'
_space_group_IT_number 15
_cell_length_a 13.717
_cell_length_b 10.804
_cell_length_c 5.157
_cell_angle_alpha 90.00
_cell_angle_beta 105.35
_cell_angle_gamma 90.00
loop_
_space_group_symop_operation_xyz
'x,y,z'
'-x,-y,-z'
'-x,y,-z+1/2'
'x,-y,z+1/2'
'x+1/2,y+1/2,z'
'-x+1/2,-y+1/2,-z'
'-x+1/2,y+1/2,-z+1/2'
'x+1/2,-y+1/2,z+1/2'
loop_
_atom_site_label
_atom_site_type_symbol
_atom_site_fract_x
_atom_site_fract_y
_atom_site_fract_z
_atom_site_occupancy
Tm1 Tm 0.000 0.113 0.250 1
Tm2 Tm 0.177 0.349 0.153 1
Cu1 Cu 0.095 0.145 0.800 1
Ag1 Ag 0.057 0.381 0.549 1
Ag2 Ag 0.214 0.078 0.272 1
```

## Properties
* electronic total energy: -0.1414 hartree per atom
* D(E_F): 22.8 states/eV per cell

---

10.
A plane-wave DFT calculation with PBE was carried out for an optimized crystal structure of MnZnPt3.

```
data_MnZnPt3
_space_group_name_H-M_alt 'P m -3 m'
_space_group_IT_number 221
_space_group_name_Hall '-P 4 2 3'
_cell_length_a 4.569
_cell_length_b 4.569
_cell_length_c 4.569
_cell_angle_alpha 90.00
_cell_angle_beta 90.00
_cell_angle_gamma 90.00
loop_
_atom_site_label
_atom_site_type_symbol
_atom_site_fract_x
_atom_site_fract_y
_atom_site_fract_z
_atom_site_occupancy
Mn1 Mn 0.000 0.000 0.000 1
Zn1 Zn 0.500 0.500 0.500 1
Pt1 Pt 0.000 0.000 0.500 1
```

## Properties
* distance to the lowest polymorph of the same formula: 1.298 eV/atom
* electronic total energy: -0.1766 hartree per atom
* D(E_F): 7.3 states/eV per cell

---

11.
A plane-wave DFT calculation with PBE was carried out for an optimized crystal structure of Ba5Bi3O11.

```
data_Ba5Bi3O11
_space_group_name_H-M_alt 'A m m 2'
_space_group_IT_number 38
_cell_length_a 9.192
_cell_length_b 8.893
_cell_length_c 9.037
_cell_angle_alpha 90.00
_cell_angle_beta 90.00
_cell_angle_gamma 90.00
loop_
_space_group_symop_operation_xyz
'x,y,z'
'-x,-y,z'
'-x,y,z'
'x,-y,z'
'x,y+1/2,z+1/2'
'-x,-y+1/2,z+1/2'
'-x,y+1/2,z+1/2'
'x,-y+1/2,z+1/2'
loop_
_atom_site_label
_atom_site_type_symbol
_atom_site_fract_x
_atom_site_fract_y
_atom_site_fract_z
_atom_site_occupancy
Ba1 Ba 0.000 0.000 0.000 1
Ba2 Ba 0.279 0.239 0.717 1
Bi1 Bi 0.000 0.000 0.501 1
Bi2 Bi 0.500 0.000 0.470 1
Bi3 Bi 0.500 0.000 0.966 1
O1 O 0.000 0.000 0.270 1
O2 O 0.000 0.209 0.623 1
O3 O 0.248 0.000 0.506 1
O4 O 0.263 0.000 0.934 1
O5 O 0.500 0.000 0.212 1
O6 O 0.500 0.000 0.719 1
O7 O 0.500 0.246 0.975 1
```

## Properties
* formation energy (no corrections): -1.9115 eV/atom
* electronic total energy: -0.2169 hartree per atom
* D(E_F): 9.4 states/eV per cell

---

12.
A plane-wave DFT calculation with PBE was carried out for an optimized crystal structure of Li4DyTh3Te8.

```
data_Li4DyTh3Te8
_space_group_name_H-M_alt 'R -3 m'
_space_group_IT_number 166
_space_group_name_Hall '-R 3 2"'
_cell_length_a 8.6159
_cell_length_b 8.6159
_cell_length_c 21.8161
_cell_angle_alpha 90.00
_cell_angle_beta 90.00
_cell_angle_gamma 120.00
loop_
_atom_site_label
_atom_site_type_symbol
_atom_site_fract_x
_atom_site_fract_y
_atom_site_fract_z
_atom_site_occupancy
Li1 Li 0.0000 0.0000 0.0000 1
Li2 Li 0.0000 0.5000 0.0000 1
Dy1 Dy 0.0000 0.0000 0.5000 1
Th1 Th 0.0000 0.5000 0.5000 1
Te1 Te 0.0000 0.0000 0.2575 1
Te2 Te 0.0063 0.5031 0.2551 1
```

## Properties
* formation energy (no corrections): -1.1303 eV/atom
* electronic total energy: -0.1785 hartree per atom
* D(E_F): 22.8 states/eV per cell

---

13.
A plane-wave DFT calculation with PBE was carried out for an optimized crystal structure of MgMnSe2.

```
data_MgMnSe2
_space_group_name_H-M_alt 'R -3 m'
_space_group_IT_number 166
_space_group_name_Hall '-R 3 2"'
_cell_length_a 3.8783
_cell_length_b 3.8783
_cell_length_c 18.9829
_cell_angle_alpha 90.00
_cell_angle_beta 90.00
_cell_angle_gamma 120.00
loop_
_atom_site_label
_atom_site_type_symbol
_atom_site_fract_x
_atom_site_fract_y
_atom_site_fract_z
_atom_site_occupancy
Mg1 Mg 0.0000 0.0000 0.0000 1
Mn1 Mn 0.0000 0.0000 0.5000 1
Se1 Se 0.0000 0.0000 0.2488 1
```

## Properties
* formation energy (no corrections): -0.7927 eV/atom
* electronic total energy: -0.1921 hartree per atom

---

14.
A plane-wave DFT calculation with PBE was carried out for an optimized crystal structure of GeTe2W.

```
data_GeTe2W
_space_group_name_H-M_alt 'I -4 2 d'
_space_group_IT_number 122
_space_group_name_Hall 'I -4 2bw'
_cell_length_a 6.527
_cell_length_b 6.527
_cell_length_c 11.883
_cell_angle_alpha 90.00
_cell_angle_beta 90.00
_cell_angle_gamma 90.00
loop_
_atom_site_label
_atom_site_type_symbol
_atom_site_fract_x
_atom_site_fract_y
_atom_site_fract_z
_atom_site_occupancy
Ge1 Ge 0.000 0.000 0.000 1
Te1 Te 0.216 0.250 0.625 1
W1 W 0.000 0.000 0.500 1
```

## Properties
* formation energy (no corrections): 0.7828 eV/atom
* electronic total energy: -0.1904 hartree per atom
* D(E_F): 8.2 states/eV per cell

---

15.
A plane-wave DFT calculation with PBE was carried out for an optimized crystal structure of Er2CuTeO6.

```
data_Er2CuTeO6
_space_group_name_H-M_alt 'P 1'
_space_group_IT_number 1
_cell_length_a 5.613
_cell_length_b 5.615
_cell_length_c 5.929
_cell_angle_alpha 118.21
_cell_angle_beta 90.00
_cell_angle_gamma 119.95
loop_
_space_group_symop_operation_xyz
'x,y,z'
loop_
_atom_site_label
_atom_site_type_symbol
_atom_site_fract_x
_atom_site_fract_y
_atom_site_fract_z
_atom_site_occupancy
Er1 Er 0.000 0.000 0.000 1
Er2 Er 0.497 0.995 0.493 1
Cu1 Cu 0.217 0.432 0.647 1
Te1 Te 0.706 0.413 0.119 1
O1 O 0.081 0.504 0.320 1
O2 O 0.328 0.232 0.831 1
O3 O 0.422 0.240 0.320 1
O4 O 0.599 0.927 0.831 1
O5 O 0.815 0.895 0.319 1
O6 O 0.903 0.502 0.831 1
```

## Properties
* formation energy (no corrections): -2.1109 eV/atom
* electronic total energy: -0.2470 hartree per atom
* D(E_F): 2.8 states/eV per cell

---

16.
A plane-wave DFT calculation with PBE was carried out for an optimized crystal structure of Tb8Er2Al.

```
data_Tb8Er2Al
_space_group_name_H-M_alt 'C 1 2/m 1'
_space_group_IT_number 12
_cell_length_a 18.687
_cell_length_b 5.401
_cell_length_c 7.435
_cell_angle_alpha 90.00
_cell_angle_beta 113.38
_cell_angle_gamma 90.00
loop_
_space_group_symop_operation_xyz
'x,y,z'
'-x,-y,-z'
'-x,y,-z'
'x,-y,z'
'x+1/2,y+1/2,z'
'-x+1/2,-y+1/2,-z'
'-x+1/2,y+1/2,-z'
'x+1/2,-y+1/2,z'
loop_
_atom_site_label
_atom_site_type_symbol
_atom_site_fract_x
_atom_site_fract_y
_atom_site_fract_z
_atom_site_occupancy
Tb1 Tb 0.000 0.000 0.248 1
Tb2 Tb 0.133 0.500 0.398 1
Tb3 Tb 0.134 0.500 0.870 1
Tb4 Tb 0.182 0.000 0.183 1
Er1 Er 0.193 0.000 0.693 1
Al1 Al 0.000 0.500 0.000 1
```

## Properties
* distance to the lowest polymorph of the same formula: 0.057 eV/atom
* electronic total energy: -0.1660 hartree per atom
* D(E_F): 34.6 states/eV per cell

---

17.
A plane-wave DFT calculation with PBE was carried out for an optimized crystal structure of MgSbI2Cl.

```
data_MgSbI2Cl
_space_group_name_H-M_alt 'P 4/m m m'
_space_group_IT_number 123
_space_group_name_Hall '-P 4 2'
_cell_length_a 5.464
_cell_length_b 5.464
_cell_length_c 5.865
_cell_angle_alpha 90.00
_cell_angle_beta 90.00
_cell_angle_gamma 90.00
loop_
_atom_site_label
_atom_site_type_symbol
_atom_site_fract_x
_atom_site_fract_y
_atom_site_fract_z
_atom_site_occupancy
Mg1 Mg 0.000 0.000 0.000 1
Sb1 Sb 0.000 0.000 0.500 1
I1 I 0.000 0.500 0.000 1
Cl1 Cl 0.500 0.500 0.500 1
```

## Properties
* formation energy (no corrections): -0.0062 eV/atom
* distance to the lowest polymorph of the same formula: 0.000 eV/atom
* electronic total energy: -0.0786 hartree per atom
* D(E_F): 3.8 states/eV per cell

---

18.
A plane-wave DFT calculation with PBE was carried out for an optimized crystal structure of ErCd8Ag4.

```
data_ErCd8Ag4
_space_group_name_H-M_alt 'I 4/m m m'
_space_group_IT_number 139
_space_group_name_Hall '-I 4 2'
_cell_length_a 9.907
_cell_length_b 9.907
_cell_length_c 5.625
_cell_angle_alpha 90.00
_cell_angle_beta 90.00
_cell_angle_gamma 90.00
loop_
_atom_site_label
_atom_site_type_symbol
_atom_site_fract_x
_atom_site_fract_y
_atom_site_fract_z
_atom_site_occupancy
Er1 Er 0.000 0.000 0.000 1
Cd1 Cd 0.000 0.210 0.500 1
Cd2 Cd 0.000 0.343 0.000 1
Ag1 Ag 0.250 0.250 0.250 1
```

## Properties
* electronic total energy: -0.0696 hartree per atom
* D(E_F): 13.0 states/eV per cell

---

19.
A plane-wave DFT calculation with PBE was carried out for an optimized crystal structure of NaAu.

```
data_NaAu
_space_group_name_H-M_alt 'I 4/m m m'
_space_group_IT_number 139
_space_group_name_Hall '-I 4 2'
_cell_length_a 8.766
_cell_length_b 8.766
_cell_length_c 4.879
_cell_angle_alpha 90.00
_cell_angle_beta 90.00
_cell_angle_gamma 90.00
loop_
_atom_site_label
_atom_site_type_symbol
_atom_site_fract_x
_atom_site_fract_y
_atom_site_fract_z
_atom_site_occupancy
Na1 Na 0.000 0.278 0.000 1
Au1 Au 0.166 0.166 0.500 1
```

## Properties
* electronic total energy: -0.0936 hartree per atom
* D(E_F): 4.2 states/eV per cell